[1]
The following is a PBE calculation of crystalline Mg2SbAs at its relaxed geometry, from the Alexandria database.

Unit cell a=4.353 b=5.057 c=4.042 alpha=90.00 beta=90.00 gamma=90.00
Fractional positions:
As1 0.000 0.500 0.500
Sb1 0.500 0.000 0.500
Mg1 0.500 0.500 0.000
Mg2 0.000 0.000 0.000

Properties
The density of states at the Fermi level is 1.38 states/eV/cell. The calculation puts the total DFT energy (no corrections) at -12.6 eV/cell. The calculation puts the energy above the most stable polymorph in this dataset at 0.158 eV/atom. As for the raw formation energy: -160.3 meV/atom.

***

[2]
The following is a PBE calculation of crystalline MgSb2As at its relaxed geometry, from the Alexandria database.

Unit cell a=5.042 b=5.042 c=3.713 alpha=90.00 beta=90.00 gamma=90.00
Fractional positions:
As1 0.500 0.000 0.500
Sb1 0.000 0.000 0.000
Sb2 0.500 0.500 0.000
Mg1 0.000 0.500 0.500

Properties
The density of states at the Fermi level is 2.32 states/eV/cell. The calculation puts the total DFT energy (no corrections) at -14.2 eV/cell. The calculation puts the energy above the most stable polymorph in this dataset at 0.175 eV/atom. As for the raw formation energy: 82.4 meV/atom.

***

[3]
The following is a PBE calculation of crystalline Mg2SbAs at its relaxed geometry, from the Alexandria database.

Unit cell a=5.797 b=5.797 c=4.756 alpha=78.29 beta=78.29 gamma=34.85
Fractional positions:
Mg1 0.763 0.763 0.684
Mg2 0.973 0.973 0.090
As1 0.248 0.248 0.156
Sb1 0.516 0.516 0.569

Properties
The density of states at the Fermi level is 1.25 states/eV/cell. The calculation puts the total DFT energy (no corrections) at -12.8 eV/cell. The calculation puts the energy above the most stable polymorph in this dataset at 0.118 eV/atom. As for the raw formation energy: -199.8 meV/atom.